Computed, not measured: a relaxed La4TaTe crystal at the PBE level of DFT.

## Properties
Raw total energy   -5.306 eV per atom
Magnetic moment   0.01 Bohr magnetons per cell

Unit cell a=6.3483 b=6.3483 c=6.3483 alpha=60.00 beta=60.00 gamma=60.00
Fractional coordinates of all 6 atoms:
La 0.1233 0.1233 0.1233
La 0.1233 0.1233 0.6302
La 0.1233 0.6302 0.1233
La 0.6302 0.1233 0.1233
Ta 0.7500 0.7500 0.7500
Te 0.5000 0.5000 0.5000